Computed, not measured: crystalline VCo3Mo at its relaxed geometry at the PBE-GGA level of DFT.

a = 4.158 Å, b = 4.158 Å, c = 4.158 Å
α = 90.00°, β = 90.00°, γ = 90.00°
Fractional coordinates of all 5 atoms:
Mo 0.500 0.500 0.500
Co 0.000 0.500 0.000
Co 0.000 0.000 0.500
Co 0.500 0.000 0.000
V 0.000 0.000 0.000

Calculated volume, A^3/atom: 14.38
Symmetry: Pm-3m (221)

Computed, not measured: crystalline NaSnF6 at its relaxed geometry at the PBE-GGA level of DFT.

a = 5.357 Å, b = 5.363 Å, c = 6.076 Å
α = 63.72°, β = 63.75°, γ = 59.90°
Fractional coordinates of all 8 atoms:
Na 0.500 0.500 0.500
Sn 0.000 0.000 0.000
F 0.090 0.369 0.773
F 0.765 0.091 0.776
F 0.631 0.234 0.226
F 0.235 0.909 0.224
F 0.910 0.631 0.227
F 0.369 0.766 0.774

Calculated volume, A^3/atom: 16.23
Symmetry: P-1 (2)
Formation energy without anion corrections, eV per atom: -2.19

Computed, not measured: crystalline Rb4Sm3US8 at its relaxed geometry at the PBE-GGA level of DFT.

a = 8.313 Å, b = 9.080 Å, c = 8.313 Å
α = 117.24°, β = 120.00°, γ = 90.00°
Fractional coordinates of all 16 atoms:
Rb 0.500 0.000 0.000
Rb 0.500 0.000 0.500
Rb 0.000 0.000 0.000
Rb 0.000 0.000 0.500
Sm 0.500 0.500 0.000
Sm 0.500 0.500 0.500
Sm 0.000 0.500 0.500
U 0.000 0.500 0.000
S 0.229 0.694 0.965
S 0.229 0.694 0.458
S 0.268 0.304 0.536
S 0.736 0.694 0.965
S 0.264 0.306 0.035
S 0.732 0.696 0.464
S 0.771 0.306 0.542
S 0.771 0.306 0.035

Calculated volume, A^3/atom: 28.83
Symmetry: R-3m (166)
Formation energy without anion corrections, eV per atom: -1.70

| no. | raw total energy (eV/cell) |
| --- | --- |
| 1 | -35.57 |
| 2 | -34.06 |
| 3 | -89.58 |